AsOsI2 (PBE, relaxed); theoretical density = 7.0 g/cm³; distance to the lowest polymorph of the same formula = 0.0 meV per atom; D(E_F) = 0.755 states/eV/atom; calculated total energy = -34.28 eV per cell; V = 245 Å³/cell
1.0
-9.740 3.090 0.545
-2.949 -9.622 1.848
-6.100 -2.900 3.496
I As Os
4 2 2
direct
0.972 0.625 0.250
0.778 0.125 0.250
0.875 0.028 0.750
0.375 0.222 0.750
0.250 0.750 0.500
0.500 0.500 0.000
0.000 0.000 0.000
0.750 0.250 0.500